# 1
A plane-wave DFT calculation with PBE-GGA was carried out for a relaxed structure of Be2Zn2Ni.

abc: 6.088 6.088 2.957
angles: 90.00 90.00 90.00
Element x y z (fractional)
Be1 0.131 0.369 0.000
Be2 0.369 0.869 0.000
Be3 0.631 0.131 0.000
Be4 0.869 0.631 0.000
Zn1 0.167 0.667 0.500
Zn2 0.333 0.167 0.500
Zn3 0.667 0.833 0.500
Zn4 0.833 0.333 0.500
Ni1 0.000 0.000 0.000
Ni2 0.500 0.500 0.000

Values from the calculation:
ΔH_f (0 K): 0.27 eV per formula unit
Spin magnetization: 0.0 μB/f.u.
Space-group type: No. 127
Uncorrected energy: -3.102 eV/atom


# 2
A plane-wave DFT calculation with PBE-GGA was carried out for a relaxed structure of Ca2ZnBi.

abc: 10.361 10.361 10.361
angles: 148.82 148.82 44.67
Element x y z (fractional)
Ca1 0.115 0.625 0.990
Ca2 0.375 0.365 0.490
Ca3 0.635 0.125 0.010
Ca4 0.875 0.885 0.510
Zn1 0.000 0.000 0.000
Zn2 0.750 0.250 0.500
Bi1 0.250 0.750 0.500
Bi2 0.500 0.500 0.000

Values from the calculation:
ΔH_f (0 K): -0.38 eV per formula unit
Spin magnetization: 0.0 μB/f.u.
Space-group type: No. 122
Uncorrected energy: -2.383 eV/atom


# 3
A plane-wave DFT calculation with PBE-GGA was carried out for a relaxed structure of ZrRe2Rh.

abc: 5.892 5.892 5.892
angles: 100.79 100.79 128.73
Element x y z (fractional)
Zr1 0.000 0.000 0.000
Zr2 0.750 0.250 0.500
Re1 0.155 0.125 0.530
Re2 0.375 0.845 0.970
Re3 0.595 0.625 0.470
Re4 0.875 0.405 0.030
Rh1 0.250 0.750 0.500
Rh2 0.500 0.500 0.000

Values from the calculation:
ΔH_f (0 K): 2.06 eV per formula unit
Spin magnetization: 0.0 μB/f.u.
Space-group type: No. 122
Uncorrected energy: -9.683 eV/atom